No. 1
DFT (GGA-PBEsol) results for a geometry-optimized ZrCoB2Ir structure.

Computed properties:
- Space group: P4/mmm (123)
- Formation enthalpy at 0 K: 532 meV/atom

abc: 3.937 3.937 4.620
angles: 90.00 90.00 90.00
Positions (direct):
1 Zr 0.000 0.000 0.000
2 Co 0.500 0.500 0.000
3 B 0.000 0.500 0.500
4 B 0.500 0.000 0.500
5 Ir 0.500 0.500 0.500

=====

No. 2
DFT (GGA-PBEsol) results for a geometry-optimized K3CoB structure.

Computed properties:
- Space group: Pm-3m (221)
- Formation enthalpy at 0 K: 1715 meV/atom

abc: 5.910 5.910 5.910
angles: 90.00 90.00 90.00
Positions (direct):
1 K 0.000 0.000 0.500
2 K 0.000 0.500 0.000
3 K 0.500 0.000 0.000
4 Co 0.000 0.000 0.000
5 B 0.500 0.500 0.500

=====

No. 3
DFT (GGA-PBEsol) results for a geometry-optimized KTiCoB2 structure.

Computed properties:
- Space group: P4/mmm (123)
- Formation enthalpy at 0 K: 1428 meV/atom

abc: 4.442 4.442 4.349
angles: 90.00 90.00 90.00
Positions (direct):
1 K 0.000 0.000 0.000
2 Ti 0.500 0.500 0.500
3 Co 0.500 0.500 0.000
4 B 0.000 0.500 0.500
5 B 0.500 0.000 0.500

=====

No. 4
DFT (GGA-PBEsol) results for a geometry-optimized LaCo4B structure.

Computed properties:
- Space group: P6/mmm (191)
- Formation enthalpy at 0 K: -227 meV/atom

abc: 5.049 5.049 6.732
angles: 90.00 90.00 120.00
Positions (direct):
1 La 0.000 0.000 0.000
2 La 0.000 0.000 0.500
3 Co 0.000 0.500 0.211
4 Co 0.000 0.500 0.789
5 Co 0.333 0.667 0.500
6 Co 0.500 0.000 0.211
7 Co 0.500 0.000 0.789
8 Co 0.500 0.500 0.211
9 Co 0.500 0.500 0.789
10 Co 0.667 0.333 0.500
11 B 0.333 0.667 0.000
12 B 0.667 0.333 0.000